1.
Density functional theory data (PBEsol) for a geometry-optimized Be2SiNi structure.

Structure (CIF):
```
data_Be2SiNi
_symmetry_space_group_name_H-M 'I 4/m m m'
_symmetry_Int_Tables_number 139
_symmetry_space_group_name_Hall '-I 4 2'
_cell_length_a 3.339
_cell_length_b 3.339
_cell_length_c 6.847
_cell_angle_alpha 90.00
_cell_angle_beta 90.00
_cell_angle_gamma 90.00
loop_
_atom_site_label
_atom_site_type_symbol
_atom_site_fract_x
_atom_site_fract_y
_atom_site_fract_z
Be1 Be 0.000 0.500 0.250
Si1 Si 0.000 0.000 0.000
Ni1 Ni 0.000 0.000 0.500
```

Calculated values
total magnetization	0.0	μB/cell
E_form (uncorrected)	-0.270	eV/atom
total DFT energy (no corrections)	-0.1928	Ha/atom

2.
Density functional theory data (PBEsol) for a geometry-optimized TaCdNi6 structure.

Structure (CIF):
```
data_TaCdNi6
_symmetry_space_group_name_H-M 'C m m m'
_symmetry_Int_Tables_number 65
_symmetry_space_group_name_Hall '-C 2 2'
_cell_length_a 7.283
_cell_length_b 10.293
_cell_length_c 10.316
_cell_angle_alpha 90.00
_cell_angle_beta 90.00
_cell_angle_gamma 90.00
loop_
_atom_site_label
_atom_site_type_symbol
_atom_site_fract_x
_atom_site_fract_y
_atom_site_fract_z
Ta1 Ta 0.000 0.000 0.248
Ta2 Ta 0.000 0.248 0.500
Cd1 Cd 0.000 0.252 0.000
Cd2 Cd 0.000 0.500 0.250
Ni1 Ni 0.000 0.000 0.000
Ni2 Ni 0.000 0.000 0.500
Ni3 Ni 0.000 0.247 0.256
Ni4 Ni 0.000 0.500 0.000
Ni5 Ni 0.000 0.500 0.500
Ni6 Ni 0.244 0.124 0.129
Ni7 Ni 0.247 0.126 0.378
```

Calculated values
total magnetization	0.0	μB/cell
total DFT energy (no corrections)	-0.2391	Ha/atom

3.
Density functional theory data (PBEsol) for a geometry-optimized ZrCl3 structure.

Structure (CIF):
```
data_ZrCl3
_symmetry_space_group_name_H-M 'C 1 2/m 1'
_symmetry_Int_Tables_number 12
_cell_length_a 6.336
_cell_length_b 10.534
_cell_length_c 6.520
_cell_angle_alpha 90.00
_cell_angle_beta 106.58
_cell_angle_gamma 90.00
loop_
_symmetry_equiv_pos_as_xyz
'x,y,z'
'-x,-y,-z'
'-x,y,-z'
'x,-y,z'
'x+1/2,y+1/2,z'
'-x+1/2,-y+1/2,-z'
'-x+1/2,y+1/2,-z'
'x+1/2,-y+1/2,z'
loop_
_atom_site_label
_atom_site_type_symbol
_atom_site_fract_x
_atom_site_fract_y
_atom_site_fract_z
Zr1 Zr 0.000 0.144 0.000
Cl1 Cl 0.239 0.000 0.268
Cl2 Cl 0.248 0.325 0.225
```

Calculated values
total magnetization	0.0	μB/cell
E_form (uncorrected)	-1.742	eV/atom
total DFT energy (no corrections)	-0.2029	Ha/atom

4.
Density functional theory data (PBEsol) for a geometry-optimized MnOsRu2 structure.

Structure (CIF):
```
data_MnOsRu2
_symmetry_space_group_name_H-M 'C m m m'
_symmetry_Int_Tables_number 65
_symmetry_space_group_name_Hall '-C 2 2'
_cell_length_a 5.277
_cell_length_b 7.471
_cell_length_c 2.649
_cell_angle_alpha 90.00
_cell_angle_beta 90.00
_cell_angle_gamma 90.00
loop_
_atom_site_label
_atom_site_type_symbol
_atom_site_fract_x
_atom_site_fract_y
_atom_site_fract_z
Mn1 Mn 0.000 0.000 0.000
Os1 Os 0.000 0.500 0.000
Ru1 Ru 0.250 0.250 0.500
```

Calculated values
offset from the most stable computed form	0.000	eV/atom
total magnetization	3.1	μB/cell
total DFT energy (no corrections)	-0.3845	Ha/atom

5.
Density functional theory data (PBEsol) for a geometry-optimized K2Co2Pd structure.

Structure (CIF):
```
data_K2Co2Pd
_symmetry_space_group_name_H-M 'I 4/m m m'
_symmetry_Int_Tables_number 139
_symmetry_space_group_name_Hall '-I 4 2'
_cell_length_a 3.825
_cell_length_b 3.825
_cell_length_c 13.842
_cell_angle_alpha 90.00
_cell_angle_beta 90.00
_cell_angle_gamma 90.00
loop_
_atom_site_label
_atom_site_type_symbol
_atom_site_fract_x
_atom_site_fract_y
_atom_site_fract_z
K1 K 0.000 0.500 0.250
Co1 Co 0.000 0.000 0.071
Pd1 Pd 0.000 0.000 0.500
```

Calculated values
total magnetization	6.9	μB/cell
total DFT energy (no corrections)	-0.1229	Ha/atom

6.
Density functional theory data (PBEsol) for a geometry-optimized BaCaIr structure.

Structure (CIF):
```
data_BaCaIr
_symmetry_space_group_name_H-M 'P 3 m 1'
_symmetry_Int_Tables_number 156
_cell_length_a 4.3176
_cell_length_b 4.3176
_cell_length_c 6.5447
_cell_angle_alpha 90.00
_cell_angle_beta 90.00
_cell_angle_gamma 120.00
loop_
_symmetry_equiv_pos_as_xyz
'x,y,z'
'-y,x-y,z'
'-x+y,-x,z'
'-y,-x,z'
'-x+y,y,z'
'x,x-y,z'
loop_
_atom_site_label
_atom_site_type_symbol
_atom_site_fract_x
_atom_site_fract_y
_atom_site_fract_z
Ba1 Ba 0.0000 0.0000 0.0000
Ca1 Ca 0.3333 0.6667 0.4497
Ir1 Ir 0.6667 0.3333 0.2550
```

Calculated values
total magnetization	0.0	μB/cell
total DFT energy (no corrections)	-0.1710	Ha/atom

7.
Density functional theory data (PBEsol) for a geometry-optimized ScTaIr2 structure.

Structure (CIF):
```
data_ScTaIr2
_symmetry_space_group_name_H-M 'P m m m'
_symmetry_Int_Tables_number 47
_cell_length_a 2.933
_cell_length_b 3.599
_cell_length_c 6.064
_cell_angle_alpha 90.00
_cell_angle_beta 90.00
_cell_angle_gamma 90.00
loop_
_symmetry_equiv_pos_as_xyz
'x,y,z'
'-x,-y,-z'
'-x,-y,z'
'x,y,-z'
'x,-y,-z'
'-x,y,z'
'-x,y,-z'
'x,-y,z'
loop_
_atom_site_label
_atom_site_type_symbol
_atom_site_fract_x
_atom_site_fract_y
_atom_site_fract_z
Sc1 Sc 0.000 0.000 0.000
Ta1 Ta 0.000 0.000 0.500
Ir1 Ir 0.500 0.500 0.256
```

Calculated values
total magnetization	0.0	μB/cell
total DFT energy (no corrections)	-0.3822	Ha/atom

8.
Density functional theory data (PBEsol) for a geometry-optimized BaV12S16 structure.

Structure (CIF):
```
data_BaV12S16
_symmetry_space_group_name_H-M 'C 1 m 1'
_symmetry_Int_Tables_number 8
_cell_length_a 18.083
_cell_length_b 6.374
_cell_length_c 9.047
_cell_angle_alpha 90.00
_cell_angle_beta 120.00
_cell_angle_gamma 90.00
loop_
_symmetry_equiv_pos_as_xyz
'x,y,z'
'x,-y,z'
'x+1/2,y+1/2,z'
'x+1/2,-y+1/2,z'
loop_
_atom_site_label
_atom_site_type_symbol
_atom_site_fract_x
_atom_site_fract_y
_atom_site_fract_z
Ba1 Ba 0.000 0.000 0.000
V1 V 0.057 0.251 0.493
V2 V 0.189 0.258 0.886
V3 V 0.242 0.500 0.368
V4 V 0.244 0.000 0.374
V5 V 0.254 0.241 0.622
V6 V 0.313 0.500 0.115
V7 V 0.317 0.000 0.118
V8 V 0.442 0.000 0.513
V9 V 0.442 0.500 0.517
S1 S 0.027 0.253 0.713
S2 S 0.143 0.250 0.342
S3 S 0.166 0.000 0.669
S4 S 0.168 0.500 0.666
S5 S 0.173 0.500 0.055
S6 S 0.178 0.000 0.056
S7 S 0.329 0.249 0.946
S8 S 0.333 0.250 0.334
S9 S 0.349 0.500 0.644
S10 S 0.354 0.000 0.653
S11 S 0.472 0.500 0.300
S12 S 0.473 0.000 0.295
```

Calculated values
total magnetization	0.0	μB/cell
E_form (uncorrected)	-1.202	eV/atom
total DFT energy (no corrections)	-0.2823	Ha/atom